[1]
{"formula": "ReMo2P", "functional": "PBE", "state": "relaxed", "lattice": [[-2.4185, -0.9123, 1.1601], [1.8639, -2.1065, -0.3406], [2.9583, 1.4378, 7.2983]], "species": ["P", "Mo", "Mo", "Re"], "frac_coords": [[0.0000, 0.0000, 0.4975], [0.0000, 0.0000, 0.0009], [0.5000, 0.5000, 0.7261], [0.5000, 0.5000, 0.2755]], "magnetic_moment_mub_per_fu": 0.00, "final_energy_ev_per_cell": -38.78, "ef_mev_per_atom": 185}

***

[2]
{"formula": "ReMoP2", "functional": "PBE", "state": "relaxed", "lattice": [[-2.2121, -1.6120, -1.0216], [2.7026, -1.0545, -0.3457], [-0.5231, -3.5473, 6.7300]], "species": ["P", "P", "Mo", "Re"], "frac_coords": [[0.0000, 0.0000, 0.0012], [0.0000, 0.0000, 0.4988], [0.5000, 0.5000, 0.7500], [0.5000, 0.5000, 0.2500]], "magnetic_moment_mub_per_fu": 0.00, "relative_energy_mev_per_atom": 657, "final_energy_ev_per_cell": -33.06, "ef_mev_per_atom": 259}

***

[3]
{"formula": "ReMoP2", "functional": "PBE", "state": "relaxed", "lattice": [[-2.0547, -1.4492, -1.8714], [-1.4092, -1.2420, 2.5091], [-3.4087, 4.4565, 0.2915]], "species": ["Re", "P", "P", "Mo"], "frac_coords": [[0.0000, 0.0000, 0.4417], [0.5000, 0.5000, 0.2602], [0.0000, 0.0000, 0.9896], [0.5000, 0.5000, 0.8086]], "magnetic_moment_mub_per_fu": 0.00, "relative_energy_mev_per_atom": 108, "final_energy_ev_per_cell": -35.26, "ef_mev_per_atom": -290}

***

[4]
{"formula": "ReMoP2", "functional": "PBE", "state": "relaxed", "lattice": [[4.4690, 0.0000, 0.0000], [0.0000, 4.4690, 0.0000], [2.2345, 2.2345, 6.9285]], "species": ["Mo", "Mo", "Re", "Re", "P", "P", "P", "P"], "frac_coords": [[0.2500, 0.7500, 0.5000], [0.5000, 0.5000, 0.0000], [0.7500, 0.2500, 0.5000], [0.0000, 0.0000, 0.0000], [0.3750, 0.3630, 0.7500], [0.6370, 0.1250, 0.2500], [0.8750, 0.8870, 0.7500], [0.1130, 0.6250, 0.2500]], "magnetic_moment_mub_per_fu": 0.25, "relative_energy_mev_per_atom": 604, "final_energy_ev_per_cell": -66.55, "ef_mev_per_atom": 206}

***

[5]
{"formula": "ReMo2P", "functional": "PBE", "state": "relaxed", "lattice": [[-4.0802, -3.0353, -0.0637], [-4.1231, 1.5884, 2.5185], [3.2888, 1.1057, -3.7185]], "species": ["P", "Mo", "Mo", "Re"], "frac_coords": [[0.0000, 0.5000, 0.5000], [0.7696, 0.7696, 0.0000], [0.2304, 0.2304, 0.0000], [0.5000, 0.0000, 0.5000]], "magnetic_moment_mub_per_fu": 0.00, "final_energy_ev_per_cell": -39.74, "ef_mev_per_atom": -54}

***

[6]
{"formula": "ReMo2P", "functional": "PBE", "state": "relaxed", "lattice": [[-0.4580, -0.8460, -2.7527], [-2.6084, -1.0595, 0.7596], [-2.8619, 6.0533, -1.3843]], "species": ["P", "Re", "Mo", "Mo"], "frac_coords": [[0.0000, 0.0000, 0.5096], [0.5000, 0.5000, 0.7186], [0.0000, 0.0000, 0.9899], [0.5000, 0.5000, 0.2820]], "magnetic_moment_mub_per_fu": 0.00, "final_energy_ev_per_cell": -39.62, "ef_mev_per_atom": -24}

***

[7]
{"formula": "ReMo2P", "functional": "PBE", "state": "relaxed", "lattice": [[-0.1948, 3.7751, 0.1216], [-2.5299, -0.2208, 2.8027], [5.2514, 1.9258, 7.4437]], "species": ["Mo", "Mo", "Mo", "Mo", "P", "P", "Re", "Re"], "frac_coords": [[0.3750, 0.4061, 0.7500], [0.5939, 0.1250, 0.2500], [0.8750, 0.8439, 0.7500], [0.1561, 0.6250, 0.2500], [0.5000, 0.5000, 0.0000], [0.2500, 0.7500, 0.5000], [0.0000, 0.0000, 0.0000], [0.7500, 0.2500, 0.5000]], "magnetic_moment_mub_per_fu": 0.00, "final_energy_ev_per_cell": -74.80, "ef_mev_per_atom": 530}

***

[8]
{"formula": "ReMoP", "functional": "PBE", "state": "relaxed", "lattice": [[2.0765, -3.5966, 0.0000], [2.0765, 3.5966, 0.0000], [0.0000, 0.0000, 2.8902]], "species": ["Re", "P", "Mo"], "frac_coords": [[0.6667, 0.3333, 0.5000], [0.3333, 0.6667, 0.5000], [0.0000, 0.0000, 0.0000]], "magnetic_moment_mub_per_fu": 0.00, "relative_energy_mev_per_atom": 17, "final_energy_ev_per_cell": -29.23, "ef_mev_per_atom": -182}

***

[9]
{"formula": "ReMo2P", "functional": "PBE", "state": "relaxed", "lattice": [[1.4884, 4.9309, -0.0069], [-1.4884, 4.9309, -0.0069], [0.0000, 2.0223, 3.9736]], "species": ["Mo", "Mo", "Re", "P"], "frac_coords": [[0.2201, 0.2201, 0.2642], [0.0039, 0.0039, 0.9872], [0.7799, 0.7799, 0.7035], [0.4961, 0.4961, 0.5451]], "magnetic_moment_mub_per_fu": 0.00, "final_energy_ev_per_cell": -39.95, "ef_mev_per_atom": -106}

***

[10]
{"formula": "ReMo2P", "functional": "PBE", "state": "relaxed", "lattice": [[-0.6032, -2.7312, 0.8683], [-1.0408, -0.9757, -3.7919], [4.7542, -1.3541, -0.9565]], "species": ["P", "Re", "Mo", "Mo"], "frac_coords": [[0.0000, 0.0000, 0.4915], [0.5000, 0.5000, 0.7522], [0.0000, 0.0000, 0.9838], [0.5000, 0.5000, 0.2725]], "magnetic_moment_mub_per_fu": 0.00, "final_energy_ev_per_cell": -39.20, "ef_mev_per_atom": 81}

***

[11]
{"formula": "ReMo2P", "functional": "PBE", "state": "relaxed", "lattice": [[4.4126, 0.0000, 0.0000], [0.0000, 4.4126, 0.0000], [0.0000, 0.0000, 3.0329]], "species": ["P", "Re", "Mo", "Mo"], "frac_coords": [[0.5000, 0.5000, 0.5000], [0.0000, 0.0000, 0.5000], [0.5000, 0.0000, 0.0000], [0.0000, 0.5000, 0.0000]], "magnetic_moment_mub_per_fu": 0.00, "final_energy_ev_per_cell": -39.07, "ef_mev_per_atom": 112}

***

[12]
{"formula": "ReMoP", "functional": "PBE", "state": "relaxed", "lattice": [[-0.4696, 2.3116, -1.6760], [-1.3012, -2.5130, -0.6036], [-4.6244, 1.5648, 3.4540]], "species": ["P", "Re", "Mo"], "frac_coords": [[0.6667, 0.3333, 0.3395], [0.3333, 0.6667, 0.6447], [0.0000, 0.0000, 0.0158]], "magnetic_moment_mub_per_fu": 0.00, "relative_energy_mev_per_atom": 235, "final_energy_ev_per_cell": -28.58, "ef_mev_per_atom": 36}